w.
This record from the Alexandria database describes crystalline Mg3TaTl at its relaxed geometry. The functional is PBE.

## Properties
* DOS(E_F): 3.5 states/eV/f.u.
* magnetic moment: 0.000 μB per formula unit

The structure in POSCAR format:
```
Mg3TaTl
1.0
5.117 0.000 0.000
0.000 5.117 0.000
0.000 0.000 5.117
Mg Ta Tl
3 1 1
Direct
0.000 0.000 0.500 Mg
0.000 0.500 0.000 Mg
0.500 0.000 0.000 Mg
0.500 0.500 0.500 Ta
0.000 0.000 0.000 Tl
```

x.
This record from the Alexandria database describes crystalline Mg3TaTl at its relaxed geometry. The functional is PBE.

## Properties
* DOS(E_F): 4.2 states/eV/f.u.
* magnetic moment: 3.915 μB per formula unit

The structure in POSCAR format:
```
Mg3TaTl
1.0
5.517 0.000 0.000
0.000 5.517 0.000
0.000 0.000 5.517
Mg Ta Tl
3 1 1
Direct
0.000 0.000 0.500 Mg
0.000 0.500 0.000 Mg
0.500 0.000 0.000 Mg
0.000 0.000 0.000 Ta
0.500 0.500 0.500 Tl
```

Of them, the most stable is x and the least stable is w.

w.
This record from the Alexandria database describes crystalline Tm2MgTa at its relaxed geometry. The functional is PBE.

## Properties
* DOS(E_F): 6.2 states/eV/f.u.
* magnetic moment: 0.004 μB per formula unit

The structure in POSCAR format:
```
Tm2MgTa
1.0
1.563 0.902 11.709
-1.563 0.902 11.709
0.000 -1.804 11.709
Tm Mg Ta
2 1 1
Direct
0.084 0.084 0.084 Tm
0.916 0.916 0.916 Tm
0.500 0.500 0.500 Mg
0.000 0.000 0.000 Ta
```

x.
This record from the Alexandria database describes crystalline Tm2MgTa at its relaxed geometry. The functional is PBE.

## Properties
* DOS(E_F): 5.4 states/eV/f.u.
* magnetic moment: 0.000 μB per formula unit

The structure in POSCAR format:
```
Tm2MgTa
1.0
3.187 0.000 0.000
0.000 3.187 0.000
0.000 0.000 9.748
Tm Mg Ta
2 1 1
Direct
0.000 0.000 0.227 Tm
0.000 0.000 0.773 Tm
0.500 0.500 0.500 Mg
0.500 0.500 0.000 Ta
```

Of them, the most stable is x and the least stable is w.

w.
This record from the Alexandria database describes crystalline Mg2TaV at its relaxed geometry. The functional is PBE.

## Properties
* DOS(E_F): 3.2 states/eV/f.u.
* magnetic moment: 1.013 μB per formula unit

The structure in POSCAR format:
```
Mg2TaV
1.0
-3.776 3.776 2.658
3.776 -3.776 2.658
3.776 3.776 -2.658
Mg Ta V
4 2 2
Direct
0.107 0.125 0.482 Mg
0.375 0.893 0.018 Mg
0.643 0.625 0.518 Mg
0.875 0.357 0.982 Mg
0.250 0.750 0.500 Ta
0.500 0.500 0.000 Ta
0.000 0.000 0.000 V
0.750 0.250 0.500 V
```

x.
This record from the Alexandria database describes crystalline Mg2TaV at its relaxed geometry. The functional is PBE.

## Properties
* DOS(E_F): 5.1 states/eV/f.u.
* magnetic moment: 1.861 μB per formula unit

The structure in POSCAR format:
```
Mg2TaV
1.0
0.000 3.316 3.316
3.316 0.000 3.316
3.316 3.316 0.000
Mg Ta V
2 1 1
Direct
0.250 0.250 0.250 Mg
0.750 0.750 0.750 Mg
0.000 0.000 0.000 Ta
0.500 0.500 0.500 V
```

Of them, the most stable is x and the least stable is w.

w.
This record from the Alexandria database describes crystalline MgTa3V at its relaxed geometry. The functional is PBE.

## Properties
* DOS(E_F): 6.3 states/eV/f.u.
* magnetic moment: 2.335 μB per formula unit

The structure in POSCAR format:
```
MgTa3V
1.0
4.715 0.000 0.000
0.000 4.715 0.000
0.000 0.000 4.715
Mg Ta V
1 3 1
Direct
0.000 0.000 0.000 Mg
0.000 0.000 0.500 Ta
0.000 0.500 0.000 Ta
0.500 0.000 0.000 Ta
0.500 0.500 0.500 V
```

x.
This record from the Alexandria database describes crystalline MgTa3V at its relaxed geometry. The functional is PBE.

## Properties
* DOS(E_F): 6.6 states/eV/f.u.
* magnetic moment: 0.000 μB per formula unit

The structure in POSCAR format:
```
MgTa3V
1.0
4.692 0.000 0.000
0.000 4.692 0.000
0.000 0.000 4.692
Mg Ta V
1 3 1
Direct
0.000 0.000 0.000 Mg
0.000 0.500 0.500 Ta
0.500 0.000 0.500 Ta
0.500 0.500 0.000 Ta
0.500 0.500 0.500 V
```

Of them, the most stable is x and the least stable is w.

w.
This record from the Alexandria database describes crystalline Mg2Ta2W at its relaxed geometry. The functional is PBE.

## Properties
* DOS(E_F): 3.0 states/eV/f.u.
* magnetic moment: 0.000 μB per formula unit

The structure in POSCAR format:
```
Mg2Ta2W
1.0
-1.904 1.904 6.516
1.904 -1.904 6.516
1.904 1.904 -6.516
Mg Ta W
2 2 1
Direct
0.091 0.091 0.000 Mg
0.909 0.909 0.000 Mg
0.250 0.750 0.500 Ta
0.750 0.250 0.500 Ta
0.500 0.500 0.000 W
```

x.
This record from the Alexandria database describes crystalline Mg2Ta2W at its relaxed geometry. The functional is PBE.

## Properties
* DOS(E_F): 4.1 states/eV/f.u.
* magnetic moment: 0.000 μB per formula unit

The structure in POSCAR format:
```
Mg2Ta2W
1.0
7.068 0.000 0.000
0.000 7.068 0.000
0.000 0.000 3.552
Mg Ta W
4 4 2
Direct
0.126 0.374 0.000 Mg
0.374 0.874 0.000 Mg
0.626 0.126 0.000 Mg
0.874 0.626 0.000 Mg
0.178 0.678 0.500 Ta
0.322 0.178 0.500 Ta
0.678 0.822 0.500 Ta
0.822 0.322 0.500 Ta
0.000 0.000 0.000 W
0.500 0.500 0.000 W
```

Of them, the most stable is x and the least stable is w.

w.
This record from the Alexandria database describes crystalline MgTa3W at its relaxed geometry. The functional is PBE.

## Properties
* DOS(E_F): 3.2 states/eV/f.u.
* magnetic moment: 0.000 μB per formula unit

The structure in POSCAR format:
```
MgTa3W
1.0
4.902 0.000 0.000
0.000 4.902 0.000
0.000 0.000 4.902
Mg Ta W
1 3 1
Direct
0.000 0.000 0.000 Mg
0.000 0.500 0.500 Ta
0.500 0.000 0.500 Ta
0.500 0.500 0.000 Ta
0.500 0.500 0.500 W
```

x.
This record from the Alexandria database describes crystalline MgTa3W at its relaxed geometry. The functional is PBE.

## Properties
* DOS(E_F): 5.4 states/eV/f.u.
* magnetic moment: 0.000 μB per formula unit

The structure in POSCAR format:
```
MgTa3W
1.0
4.643 0.000 0.000
0.000 4.643 0.000
0.000 0.000 4.643
Mg Ta W
1 3 1
Direct
0.000 0.000 0.000 Mg
0.000 0.000 0.500 Ta
0.000 0.500 0.000 Ta
0.500 0.000 0.000 Ta
0.500 0.500 0.500 W
```

Of them, the most stable is w and the least stable is x.

w.
This record from the Alexandria database describes crystalline YMg2Ta at its relaxed geometry. The functional is PBE.

## Properties
* DOS(E_F): 5.4 states/eV/f.u.
* magnetic moment: 0.000 μB per formula unit

The structure in POSCAR format:
```
YMg2Ta
1.0
-2.224 2.224 4.551
2.224 -2.224 4.551
2.224 2.224 -4.551
Y Mg Ta
1 2 1
Direct
0.000 0.000 0.000 Y
0.250 0.750 0.500 Mg
0.500 0.500 0.000 Mg
0.750 0.250 0.500 Ta
```

x.
This record from the Alexandria database describes crystalline YMg2Ta at its relaxed geometry. The functional is PBE.

## Properties
* DOS(E_F): 4.2 states/eV/f.u.
* magnetic moment: 0.000 μB per formula unit

The structure in POSCAR format:
```
YMg2Ta
1.0
3.072 0.000 0.000
0.000 3.072 0.000
0.000 0.000 9.488
Y Mg Ta
1 2 1
Direct
0.000 0.000 0.000 Y
0.500 0.500 0.277 Mg
0.500 0.500 0.723 Mg
0.000 0.000 0.500 Ta
```

Of them, the most stable is x and the least stable is w.

w.
This record from the Alexandria database describes crystalline YMgTa at its relaxed geometry. The functional is PBE.

## Properties
* DOS(E_F): 2.3 states/eV/f.u.
* magnetic moment: 0.000 μB per formula unit

The structure in POSCAR format:
```
YMgTa
1.0
3.197 0.000 0.000
-1.598 2.768 0.000
0.000 0.000 7.922
Y Mg Ta
1 1 1
Direct
0.000 0.000 0.000 Y
0.667 0.333 0.375 Mg
0.333 0.667 0.684 Ta
```

x.
This record from the Alexandria database describes crystalline YMgTa at its relaxed geometry. The functional is PBE.

## Properties
* DOS(E_F): 5.7 states/eV/f.u.
* magnetic moment: 2.418 μB per formula unit

The structure in POSCAR format:
```
YMgTa
1.0
0.000 3.509 3.509
3.509 0.000 3.509
3.509 3.509 0.000
Y Mg Ta
1 1 1
Direct
0.000 0.000 0.000 Y
0.750 0.750 0.750 Mg
0.250 0.250 0.250 Ta
```

Of them, the most stable is w and the least stable is x.

w.
This record from the Alexandria database describes crystalline YMgTa at its relaxed geometry. The functional is PBE.

## Properties
* DOS(E_F): 3.9 states/eV/f.u.
* magnetic moment: 0.000 μB per formula unit

The structure in POSCAR format:
```
YMgTa
1.0
-1.555 2.160 5.085
1.555 -2.160 5.085
1.555 2.160 -5.085
Y Mg Ta
1 1 1
Direct
0.000 0.000 0.000 Y
0.682 0.682 0.000 Mg
0.326 0.326 0.000 Ta
```

x.
This record from the Alexandria database describes crystalline YMgTa at its relaxed geometry. The functional is PBE.

## Properties
* DOS(E_F): 4.7 states/eV/f.u.
* magnetic moment: 0.003 μB per formula unit

The structure in POSCAR format:
```
YMgTa
1.0
0.000 3.389 3.389
3.389 0.000 3.389
3.389 3.389 0.000
Y Mg Ta
1 1 1
Direct
0.000 0.000 0.000 Y
0.750 0.750 0.750 Mg
0.500 0.500 0.500 Ta
```

Of them, the most stable is w and the least stable is x.

w.
This record from the Alexandria database describes crystalline MgTa2Zn at its relaxed geometry. The functional is PBE.

## Properties
* DOS(E_F): 3.3 states/eV/f.u.
* magnetic moment: 0.000 μB per formula unit

The structure in POSCAR format:
```
MgTa2Zn
1.0
2.785 -4.454 0.000
2.785 4.454 0.000
0.000 0.000 2.827
Mg Ta Zn
1 2 1
Direct
0.000 0.000 0.000 Mg
0.000 0.500 0.500 Ta
0.500 0.000 0.500 Ta
0.500 0.500 0.000 Zn
```

x.
This record from the Alexandria database describes crystalline MgTa2Zn at its relaxed geometry. The functional is PBE.

## Properties
* DOS(E_F): 2.6 states/eV/f.u.
* magnetic moment: 0.000 μB per formula unit

The structure in POSCAR format:
```
MgTa2Zn
1.0
-1.697 2.184 4.772
1.697 -2.184 4.772
1.697 2.184 -4.772
Mg Ta Zn
1 2 1
Direct
0.000 0.000 0.000 Mg
0.265 0.765 0.500 Ta
0.735 0.235 0.500 Ta
0.500 0.500 0.000 Zn
```

Of them, the most stable is x and the least stable is w.

w.
This record from the Alexandria database describes crystalline MgTa2Zn at its relaxed geometry. The functional is PBE.

## Properties
* DOS(E_F): 4.8 states/eV/f.u.
* magnetic moment: 0.000 μB per formula unit

The structure in POSCAR format:
```
MgTa2Zn
1.0
0.000 3.252 3.252
3.252 0.000 3.252
3.252 3.252 0.000
Mg Ta Zn
1 2 1
Direct
0.000 0.000 0.000 Mg
0.250 0.250 0.250 Ta
0.750 0.750 0.750 Ta
0.500 0.500 0.500 Zn
```

x.
This record from the Alexandria database describes crystalline MgTa2Zn at its relaxed geometry. The functional is PBE.

## Properties
* DOS(E_F): 2.4 states/eV/f.u.
* magnetic moment: 0.000 μB per formula unit

The structure in POSCAR format:
```
MgTa2Zn
1.0
-3.735 3.735 2.673
3.735 -3.735 2.673
3.735 3.735 -2.673
Mg Ta Zn
2 4 2
Direct
0.000 0.000 0.000 Mg
0.750 0.250 0.500 Mg
0.144 0.625 0.019 Ta
0.375 0.394 0.519 Ta
0.606 0.125 0.981 Ta
0.875 0.856 0.481 Ta
0.250 0.750 0.500 Zn
0.500 0.500 0.000 Zn
```

Of them, the most stable is w and the least stable is x.

w.
This record from the Alexandria database describes crystalline MgTa2Zn at its relaxed geometry. The functional is PBE.

## Properties
* DOS(E_F): 6.1 states/eV/f.u.
* magnetic moment: 1.137 μB per formula unit

The structure in POSCAR format:
```
MgTa2Zn
1.0
0.000 3.295 3.295
3.295 0.000 3.295
3.295 3.295 0.000
Mg Ta Zn
1 2 1
Direct
0.000 0.000 0.000 Mg
0.250 0.250 0.250 Ta
0.500 0.500 0.500 Ta
0.750 0.750 0.750 Zn
```

x.
This record from the Alexandria database describes crystalline MgTa2Zn at its relaxed geometry. The functional is PBE.

## Properties
* DOS(E_F): 2.0 states/eV/f.u.
* magnetic moment: 0.000 μB per formula unit

The structure in POSCAR format:
```
MgTa2Zn
1.0
1.779 -2.223 0.000
1.779 2.223 0.000
0.000 0.000 9.079
Mg Ta Zn
1 2 1
Direct
0.000 0.000 0.000 Mg
0.000 0.000 0.520 Ta
0.500 0.500 0.272 Ta
0.500 0.500 0.757 Zn
```

y.
This record from the Alexandria database describes crystalline MgTa2Zn at its relaxed geometry. The functional is PBE.

## Properties
* DOS(E_F): 2.4 states/eV/f.u.
* magnetic moment: 0.000 μB per formula unit

The structure in POSCAR format:
```
MgTa2Zn
1.0
3.482 0.000 0.000
0.000 3.482 0.000
0.000 0.000 5.717
Mg Ta Zn
1 2 1
Direct
0.000 0.000 0.000 Mg
0.500 0.500 0.263 Ta
0.500 0.500 0.737 Ta
0.000 0.000 0.500 Zn
```

Of them, the most stable is x and the least stable is w.